Record 1
Compound: Ca3Mg2FeC6O18
Source: Alexandria
Functional: SCAN
Structure: single point on PBEsol structure

## Properties
* symmetry: P-1, No. 2
* formation energy from raw total energies: -2.217 eV per atom

a = 4.824 Å, b = 5.983 Å, c = 12.336 Å
α = 99.71°, β = 90.06°, γ = 113.76°
Sites, in units of the cell vectors:
O 0.263 0.245 0.513
Mg 0.334 0.166 0.667
C 0.991 0.481 0.752
O 0.591 0.907 0.179
O 0.125 0.068 0.336
O 0.536 0.268 0.000
C 0.323 0.148 0.419
Ca 0.663 0.832 0.832
O 0.923 0.810 0.077
C 0.677 0.852 0.581
O 0.931 0.582 0.845
O 0.737 0.755 0.487
O 0.748 0.529 0.259
C 0.658 0.814 0.086
O 0.252 0.471 0.741
O 0.414 0.859 0.592
O 0.586 0.141 0.408
Ca 0.337 0.168 0.168
O 0.464 0.732 0.000
O 0.875 0.932 0.664
O 0.409 0.093 0.821
Mg 0.666 0.834 0.333
C 0.009 0.519 0.248
O 0.077 0.190 0.923
O 0.792 0.399 0.668
Ca 0.000 0.500 0.500
O 0.208 0.601 0.332
Fe 0.000 0.500 0.000
O 0.069 0.418 0.155
C 0.342 0.186 0.914


Record 2
Compound: Ca2MgFeC4O12
Source: Alexandria
Functional: SCAN
Structure: single point on PBEsol structure

## Properties
* symmetry: P-1, No. 2
* formation energy from raw total energies: -2.150 eV per atom

a = 4.827 Å, b = 5.982 Å, c = 7.696 Å
α = 105.81°, β = 90.03°, γ = 90.12°
Sites, in units of the cell vectors:
Ca 0.750 0.750 0.250
O 0.592 0.137 0.368
C 0.250 0.765 0.993
O 0.861 0.100 0.865
O 0.097 0.635 0.867
O 0.363 0.596 0.366
Mg 0.250 0.250 0.250
C 0.250 0.735 0.507
O 0.016 0.246 0.478
Ca 0.250 0.250 0.750
Fe 0.750 0.750 0.750
O 0.138 0.904 0.134
C 0.749 0.237 0.007
O 0.483 0.253 0.022
O 0.517 0.748 0.982
O 0.907 0.363 0.132
O 0.983 0.752 0.519
O 0.639 0.401 0.636
C 0.750 0.263 0.492
O 0.404 0.865 0.633


Record 3
Compound: NaCaFe2C
Source: Alexandria
Functional: SCAN
Structure: single point on PBEsol structure

## Properties
* symmetry: P4/mmm, No. 123

a = 4.457 Å, b = 4.457 Å, c = 5.023 Å
α = 90.00°, β = 90.00°, γ = 90.00°
Sites, in units of the cell vectors:
Fe 0.500 0.000 0.000
Fe 0.000 0.500 0.000
Na 0.000 0.000 0.500
Ca 0.000 0.000 0.000
C 0.500 0.500 0.500


Record 4
Compound: CaRe2H6CN2O10
Source: Alexandria
Functional: SCAN
Structure: single point on PBEsol structure

## Properties
* symmetry: P-1, No. 2

a = 7.204 Å, b = 9.045 Å, c = 9.416 Å
α = 112.90°, β = 91.23°, γ = 106.25°
Sites, in units of the cell vectors:
H 0.148 0.707 0.008
H 0.316 0.026 0.823
N 0.747 0.247 0.897
C 0.238 0.860 0.244
O 0.330 0.238 0.974
O 0.751 0.793 0.449
H 0.684 0.974 0.177
O 0.708 0.465 0.431
Re 0.833 0.617 0.366
Re 0.167 0.383 0.634
O 0.082 0.672 0.429
O 0.976 0.729 0.843
O 0.639 0.783 0.735
O 0.392 0.535 0.260
H 0.082 0.005 0.369
H 0.832 0.157 0.221
Re 0.278 0.317 0.165
O 0.670 0.762 0.026
O 0.292 0.535 0.569
C 0.762 0.140 0.756
H 0.960 0.861 0.180
H 0.040 0.139 0.820
O 0.361 0.217 0.265
O 0.790 0.532 0.164
O 0.249 0.207 0.551
H 0.626 0.285 0.913
N 0.928 0.099 0.732
Ca 0.425 0.791 0.525
H 0.852 0.293 0.992
O 0.024 0.271 0.157
O 0.210 0.468 0.836
Ca 0.575 0.209 0.475
N 0.072 0.901 0.268
O 0.728 0.090 0.258
H 0.168 0.843 0.779
Re 0.722 0.683 0.835
O 0.378 0.920 0.357
N 0.253 0.753 0.103
O 0.918 0.328 0.571
O 0.272 0.910 0.742
O 0.608 0.465 0.740
H 0.374 0.715 0.087
H 0.918 0.995 0.631
O 0.622 0.080 0.643


Record 5
Compound: Na2CaH4C2O8
Source: Alexandria
Functional: SCAN
Structure: single point on PBEsol structure

## Properties
* symmetry: Fdd2, No. 43

a = 6.004 Å, b = 6.370 Å, c = 10.382 Å
α = 97.83°, β = 106.81°, γ = 61.88°
Sites, in units of the cell vectors:
C 0.455 0.340 0.773
O 0.463 0.716 0.011
H 0.309 0.950 0.476
H 0.082 0.450 0.024
O 0.324 0.244 0.689
O 0.169 0.284 0.989
O 0.075 0.220 0.401
Na 0.536 0.126 0.221
O 0.924 0.720 0.099
C 0.932 0.840 0.727
O 0.895 0.780 0.599
O 0.818 0.256 0.189
Ca 0.254 0.500 0.500
O 0.241 0.002 0.231
H 0.313 0.278 0.954
H 0.840 0.222 0.454
H 0.509 0.550 0.976
O 0.702 0.216 0.489
C 0.022 0.660 0.227
Na 0.441 0.874 0.779
Ca 0.004 0.000 0.000
O 0.260 0.502 0.269
O 0.879 0.756 0.311
O 0.546 0.280 0.901
O 0.012 0.998 0.769
H 0.636 0.722 0.046
H 0.782 0.050 0.524
O 0.430 0.784 0.511
O 0.493 0.498 0.731
H 0.609 0.778 0.546
Na 0.912 0.374 0.721
Na 0.564 0.626 0.279
O 0.885 0.744 0.811
C 0.045 0.160 0.273


Record 6
Compound: Na2CaH10C2O11
Source: Alexandria
Functional: SCAN
Structure: single point on PBEsol structure

## Properties
* symmetry: C2/c, No. 15

a = 7.517 Å, b = 8.130 Å, c = 9.599 Å
α = 77.22°, β = 66.95°, γ = 62.47°
Sites, in units of the cell vectors:
O 0.902 0.036 0.173
O 0.222 0.780 0.635
O 0.889 0.536 0.673
O 0.647 0.635 0.498
H 0.643 0.147 0.728
O 0.159 0.577 0.088
Ca 0.804 0.750 0.250
O 0.841 0.423 0.912
O 0.742 0.515 0.186
H 0.238 0.607 0.750
H 0.489 0.688 0.547
H 0.784 0.483 0.077
O 0.175 0.077 0.588
Na 0.722 0.186 0.983
O 0.637 0.720 0.865
H 0.711 0.633 0.573
H 0.406 0.107 0.250
O 0.363 0.280 0.135
H 0.345 0.017 0.423
C 0.836 0.061 0.316
H 0.276 0.188 0.047
O 0.353 0.365 0.502
C 0.213 0.439 0.184
H 0.216 0.517 0.923
H 0.724 0.812 0.953
C 0.787 0.561 0.816
O 0.778 0.220 0.365
O 0.780 0.865 0.002
O 0.825 0.923 0.412
O 0.558 0.015 0.686
H 0.083 0.133 0.073
Na 0.109 0.686 0.483
Ca 0.196 0.250 0.750
H 0.357 0.853 0.272
O 0.111 0.464 0.327
Na 0.278 0.814 0.017
O 0.258 0.485 0.814
H 0.289 0.367 0.427
O 0.666 0.250 0.750
H 0.511 0.312 0.453
O 0.442 0.985 0.314
Na 0.891 0.314 0.517
H 0.655 0.983 0.577
O 0.334 0.750 0.250
O 0.220 0.135 0.998
H 0.594 0.893 0.750
H 0.482 0.647 0.228
H 0.762 0.393 0.250
C 0.164 0.939 0.684
H 0.518 0.353 0.772
H 0.917 0.867 0.927
O 0.098 0.964 0.827


Total moment, respectively: 0.133 0.200 0.860 0.003 0.000 0.000 μB/atom.
E, respectively: -9.878 -10.031 -9.200 -13.382 -7.769 -6.963 eV per atom.